Here is a relaxed structure of Li3FeMo from the Alexandria database. Energies are from PBE-GGA.

Cell and atoms, written as POSCAR:
```
Li3FeMo
1.0
4.100 0.000 0.000
0.000 4.100 0.000
0.000 0.000 4.100
Li Fe Mo
3 1 1
Direct
0.000 0.000 0.500
0.000 0.500 0.000
0.500 0.000 0.000
0.000 0.000 0.000
0.500 0.500 0.500
```

Values from the calculation:
The formation enthalpy at 0 K comes out at 1.46 eV/atom. The value obtained for the total energy is -17.73 eV/cell. The value obtained for the theoretical density is 4.16 g cm⁻³. As for the space group: No. 221. The value obtained for the total magnetization is 0.0000 μB/atom.

Here is a relaxed structure of LiFeMo2 from the Alexandria database. Energies are from PBE-GGA.

Cell and atoms, written as POSCAR:
```
LiFeMo2
1.0
1.560 -2.076 0.000
1.560 2.076 0.000
0.000 0.000 9.034
Li Fe Mo
1 1 2
Direct
0.000 0.000 0.000
0.000 0.000 0.500
0.500 0.500 0.267
0.500 0.500 0.733
```

Values from the calculation:
The formation enthalpy at 0 K comes out at 0.26 eV/atom. The value obtained for the total energy is -30.98 eV/cell. The value obtained for the theoretical density is 7.23 g cm⁻³. As for the space group: No. 65. The value obtained for the total magnetization is 0.5371 μB/atom.

Here is a relaxed structure of LiFeMo2 from the Alexandria database. Energies are from PBE-GGA.

Cell and atoms, written as POSCAR:
```
LiFeMo2
1.0
0.000 3.031 3.031
3.031 0.000 3.031
3.031 3.031 0.000
Li Fe Mo
1 1 2
Direct
0.000 0.000 0.000
0.750 0.750 0.750
0.250 0.250 0.250
0.500 0.500 0.500
```

Values from the calculation:
The formation enthalpy at 0 K comes out at 0.40 eV/atom. The value obtained for the total energy is -30.44 eV/cell. The value obtained for the theoretical density is 7.59 g cm⁻³. As for the space group: No. 216. The value obtained for the total magnetization is 0.5689 μB/atom.

Here is a relaxed structure of LiFeMo2 from the Alexandria database. Energies are from PBE-GGA.

Cell and atoms, written as POSCAR:
```
LiFeMo2
1.0
2.616 -4.306 0.000
2.616 4.306 0.000
-0.673 0.000 2.486
Li Fe Mo
1 1 2
Direct
0.000 0.000 0.000
0.500 0.500 0.000
0.000 0.500 0.500
0.500 0.000 0.500
```

Values from the calculation:
The formation enthalpy at 0 K comes out at 0.32 eV/atom. The value obtained for the total energy is -30.76 eV/cell. The value obtained for the theoretical density is 7.55 g cm⁻³. As for the space group: No. 12. The value obtained for the total magnetization is 0.4628 μB/atom.

Here is a relaxed structure of LiFeMo2 from the Alexandria database. Energies are from PBE-GGA.

Cell and atoms, written as POSCAR:
```
LiFeMo2
1.0
-1.517 2.176 4.166
1.517 -2.176 4.166
1.517 2.176 -4.166
Li Fe Mo
1 1 2
Direct
0.000 0.000 0.000
0.754 0.254 0.500
0.273 0.773 0.500
0.522 0.522 0.000
```

Values from the calculation:
The formation enthalpy at 0 K comes out at 0.38 eV/atom. The value obtained for the total energy is -30.52 eV/cell. The value obtained for the theoretical density is 7.69 g cm⁻³. As for the space group: No. 44. The value obtained for the total magnetization is 0.2146 μB/atom.

Here is a relaxed structure of LiFeMo2 from the Alexandria database. Energies are from PBE-GGA.

Cell and atoms, written as POSCAR:
```
LiFeMo2
1.0
3.173 0.000 0.000
0.000 3.173 0.000
0.000 0.000 5.570
Li Fe Mo
1 1 2
Direct
0.000 0.000 0.000
0.500 0.500 0.778
0.000 0.000 0.515
0.500 0.500 0.260
```

Values from the calculation:
The formation enthalpy at 0 K comes out at 0.37 eV/atom. The value obtained for the total energy is -30.57 eV/cell. The value obtained for the theoretical density is 7.54 g cm⁻³. As for the space group: No. 99. The value obtained for the total magnetization is 0.5836 μB/atom.